Below is a geometry-optimized CsAsCBr2 structure, with properties calculated at the PBE level.

a = 6.000 Å, b = 6.000 Å, c = 4.029 Å
α = 90.00°, β = 90.00°, γ = 90.00°
Fractional coordinates of all 5 atoms:
Cs  0.000  0.000  0.000
As  0.500  0.500  0.000
C  0.500  0.500  0.500
Br  0.000  0.500  0.500
Br  0.500  0.000  0.500

Output
calculated total energy = -16.09 eV per formula unit

Below is a geometry-optimized LaEr2SnC structure, with properties calculated at the PBE level.

a = 4.890 Å, b = 4.890 Å, c = 5.171 Å
α = 90.00°, β = 90.00°, γ = 90.00°
Fractional coordinates of all 5 atoms:
La  0.000  0.000  0.000
Er  0.000  0.500  0.500
Er  0.500  0.000  0.500
Sn  0.500  0.500  0.000
C  0.000  0.000  0.500

Output
DFT formation energy = -2.77 eV/f.u.
calculated total energy = -30.05 eV per formula unit

Below is a geometry-optimized ReP3O structure, with properties calculated at the PBE level.

a = 4.555 Å, b = 4.555 Å, c = 4.555 Å
α = 90.00°, β = 90.00°, γ = 90.00°
Fractional coordinates of all 5 atoms:
Re  0.000  0.000  0.000
P  0.000  0.000  0.500
P  0.000  0.500  0.000
P  0.500  0.000  0.000
O  0.500  0.500  0.500

Output
calculated total energy = -29.27 eV per formula unit
E above lowest polymorph = 88.6 kJ/mol of formula units